Record 1
DFT (GGA-PBE) results for crystalline Nd2Cu12Ni3Pt at its relaxed geometry.

The space group is R-3m (No. 166, hexagonal axes) and the conventional cell measures 5.8940, 5.8940 and 28.2705 Å, with angles of 90.00, 90.00 and 120.00 degrees. Symmetry generates all atoms from Nd at (0.0000, 0.0000, 0.1441), Cu at (0.0398, 0.5199, 0.0939), Cu at (0.0687, 0.5344, 0.6203), Ni at (0.0000, 0.5000, 0.0000) and Pt at (0.0000, 0.0000, 0.5000).

For the energy of formation, the calculation gives 0.186 eV per atom. The density of states at the Fermi level comes out at 0.67 states/eV/atom. For the size of the total moment, the calculation gives 0.00 μB/cell.

=====

Record 2
DFT (GGA-PBE) results for crystalline LaCo3As3 at its relaxed geometry.

The space group is R-3 (No. 148, hexagonal axes) and the conventional cell measures 6.6740, 6.6740 and 20.8363 Å, with angles of 90.00, 90.00 and 120.00 degrees. Symmetry generates all atoms from La at (0.0000, 0.0000, 0.1672), Co at (0.0038, 0.3512, 0.3735) and As at (0.0034, 0.3110, 0.5962).

For the energy of formation, the calculation gives -0.469 eV per atom. The density of states at the Fermi level comes out at 1.06 states/eV/atom. For the size of the total moment, the calculation gives 0.00 μB/cell.

=====

Record 3
DFT (GGA-PBE) results for crystalline NiOsRu2 at its relaxed geometry.

The space group is Cmmm (No. 65) and the conventional cell measures 5.327, 7.527 and 2.686 Å, with angles of 90.00, 90.00 and 90.00 degrees. Symmetry generates all atoms from Ni at (0.000, 0.000, 0.000), Os at (0.000, 0.500, 0.000) and Ru at (0.250, 0.250, 0.500).

For the energy of formation, the calculation gives 0.165 eV per atom. The density of states at the Fermi level comes out at 1.07 states/eV/atom. For the size of the total moment, the calculation gives 0.00 μB/cell.

=====

Record 4
DFT (GGA-PBE) results for crystalline Ce3YIn12 at its relaxed geometry.

The space group is P4/mmm (No. 123) and the conventional cell measures 4.684, 4.684 and 18.814 Å, with angles of 90.00, 90.00 and 90.00 degrees. Symmetry generates all atoms from Ce at (0.000, 0.000, 0.000), Ce at (0.000, 0.000, 0.252), Y at (0.000, 0.000, 0.500), In at (0.000, 0.500, 0.126), In at (0.000, 0.500, 0.377), In at (0.500, 0.500, 0.000), In at (0.500, 0.500, 0.250) and In at (0.500, 0.500, 0.500).

For the energy of formation, the calculation gives -0.415 eV per atom. The density of states at the Fermi level comes out at 1.30 states/eV/atom. For the size of the total moment, the calculation gives 2.25 μB/cell.

=====

Record 5
DFT (GGA-PBE) results for crystalline KBaAgF4 at its relaxed geometry.

The space group is Imma (No. 74) and the conventional cell measures 8.253, 8.349 and 8.730 Å, with angles of 90.00, 90.00 and 90.00 degrees. Symmetry generates all atoms from K at (0.000, 0.250, 0.066), Ba at (0.000, 0.000, 0.500), Ag at (0.250, 0.250, 0.750), F at (0.000, 0.058, 0.793) and F at (0.190, 0.250, 0.481).

The density of states at the Fermi level comes out at 0.00 states/eV/atom. The formation energy from raw total energies comes out at -2.635 eV per atom. For the size of the total moment, the calculation gives 0.19 μB/cell.

=====

Record 6
DFT (GGA-PBE) results for crystalline Dy3GaC at its relaxed geometry.

The space group is Pm-3m (No. 221) and the conventional cell measures 4.860, 4.860 and 4.860 Å, with angles of 90.00, 90.00 and 90.00 degrees. Symmetry generates all atoms from Dy at (0.000, 0.000, 0.500), Ga at (0.500, 0.500, 0.500) and C at (0.000, 0.000, 0.000).

For the energy of formation, the calculation gives -0.448 eV per atom. The density of states at the Fermi level comes out at 0.38 states/eV/atom. For the size of the total moment, the calculation gives 0.00 μB/cell.